(1)
Here is a relaxed structure of Ac2HoPd3Au12 from Alexandria via LeMat-Bulk. Energies are from PBE-GGA.

Cell: 8.9106 8.9106 20.2731 Å, 90.00 90.00 120.00°
Space group R-3m (No. 166, hexagonal axes)
Symmetry-distinct sites (fractional):
Ac: 0.0000 0.0000 0.1072 [6 per cell]
Ho: 0.0000 0.0000 0.5000 [3 per cell]
Pd: 0.0000 0.5000 0.0000 [9 per cell]
Au: 0.0023 0.5012 0.3629 [18 per cell]
Au: 0.0214 0.5107 0.8698 [18 per cell]

Properties
Mass density: 11.80 g/cm3
Crystal system: trigonal
Total DFT energy (no corrections): -208.7 eV for the cell shown
Formation energy: -104 meV per atom

=====

(2)
Here is a relaxed structure of AcHoPdAu from Alexandria via LeMat-Bulk. Energies are from PBE-GGA.

Cell: 7.4340 7.4340 7.4340 Å, 90.00 90.00 90.00°
Space group F-43m (No. 216)
Symmetry-distinct sites (fractional):
Ac: 0.0000 0.0000 0.0000 [4 per cell]
Ho: 0.0000 0.0000 0.5000 [4 per cell]
Pd: 0.2500 0.2500 0.7500 [4 per cell]
Au: 0.2500 0.2500 0.2500 [4 per cell]

Properties
Mass density: 11.24 g/cm3
Crystal system: cubic
Total DFT energy (no corrections): -80.4 eV for the cell shown
Formation energy: -734 meV per atom

=====

(3)
Here is a relaxed structure of AcHoPtAu from Alexandria via LeMat-Bulk. Energies are from PBE-GGA.

Cell: 7.4101 7.4101 7.4101 Å, 90.00 90.00 90.00°
Space group F-43m (No. 216)
Symmetry-distinct sites (fractional):
Ac: 0.0000 0.0000 0.0000 [4 per cell]
Ho: 0.0000 0.0000 0.5000 [4 per cell]
Pt: 0.2500 0.2500 0.7500 [4 per cell]
Au: 0.2500 0.2500 0.2500 [4 per cell]

Properties
Mass density: 12.80 g/cm3
Crystal system: cubic
Total DFT energy (no corrections): -86.2 eV for the cell shown
Formation energy: -889 meV per atom

=====

(4)
Here is a relaxed structure of AcHoRuAu from Alexandria via LeMat-Bulk. Energies are from PBE-GGA.

Cell: 7.2953 7.2953 7.2953 Å, 90.00 90.00 90.00°
Space group F-43m (No. 216)
Symmetry-distinct sites (fractional):
Ac: 0.0000 0.0000 0.0000 [4 per cell]
Ho: 0.0000 0.0000 0.5000 [4 per cell]
Ru: 0.2500 0.2500 0.7500 [4 per cell]
Au: 0.2500 0.2500 0.2500 [4 per cell]

Properties
Mass density: 11.80 g/cm3
Crystal system: cubic
Total DFT energy (no corrections): -91.3 eV for the cell shown
Formation energy: -396 meV per atom

=====

(5)
Here is a relaxed structure of AcHoSbAu from Alexandria via LeMat-Bulk. Energies are from PBE-GGA.

Cell: 7.7181 7.7181 7.7181 Å, 90.00 90.00 90.00°
Space group F-43m (No. 216)
Symmetry-distinct sites (fractional):
Ac: 0.0000 0.0000 0.0000 [4 per cell]
Ho: 0.0000 0.0000 0.5000 [4 per cell]
Sb: 0.2500 0.2500 0.7500 [4 per cell]
Au: 0.2500 0.2500 0.2500 [4 per cell]

Properties
Mass density: 10.27 g/cm3
Crystal system: cubic
Total DFT energy (no corrections): -75.8 eV for the cell shown

=====

(6)
Here is a relaxed structure of AcHoSiAu from Alexandria via LeMat-Bulk. Energies are from PBE-GGA.

Cell: 7.4742 7.4742 7.4742 Å, 90.00 90.00 90.00°
Space group F-43m (No. 216)
Symmetry-distinct sites (fractional):
Ac: 0.0000 0.0000 0.0000 [4 per cell]
Ho: 0.0000 0.0000 0.5000 [4 per cell]
Si: 0.2500 0.2500 0.2500 [4 per cell]
Au: 0.2500 0.2500 0.7500 [4 per cell]

Properties
Mass density: 9.81 g/cm3
Crystal system: cubic
Total DFT energy (no corrections): -78.3 eV for the cell shown

=====

(7)
Here is a relaxed structure of Ac2HoSnAu6 from Alexandria via LeMat-Bulk. Energies are from PBE-GGA.

Cell: 10.6304 10.6304 10.6304 Å, 90.00 90.00 90.00°
Space group Fm-3m (No. 225)
Symmetry-distinct sites (fractional):
Ac: 0.2500 0.2500 0.2500 [8 per cell]
Ho: 0.0000 0.0000 0.0000 [4 per cell]
Sn: 0.0000 0.0000 0.5000 [4 per cell]
Au: 0.0000 0.0000 0.2536 [24 per cell]

Properties
Mass density: 10.61 g/cm3
Crystal system: cubic
Total DFT energy (no corrections): -155.7 eV for the cell shown
Formation energy: -247 meV per atom

=====

(8)
Here is a relaxed structure of Ac2HoSn4Au3 from Alexandria via LeMat-Bulk. Energies are from PBE-GGA.

Cell: 4.6836 4.6836 12.4343 Å, 90.00 90.00 90.00°
Space group P-4m2 (No. 115)
Symmetry-distinct sites (fractional):
Ac: 0.0000 0.5000 0.2377 [2 per cell]
Ho: 0.0000 0.0000 0.5000 [1 per cell]
Sn: 0.0000 0.0000 0.0000 [1 per cell]
Sn: 0.0000 0.5000 0.6483 [2 per cell]
Sn: 0.5000 0.5000 0.0000 [1 per cell]
Au: 0.0000 0.5000 0.8671 [2 per cell]
Au: 0.5000 0.5000 0.5000 [1 per cell]

Properties
Mass density: 10.26 g/cm3
Crystal system: tetragonal
Total DFT energy (no corrections): -45.2 eV for the cell shown
Formation energy: -653 meV per atom

=====

(9)
Here is a relaxed structure of AcHoSnAu from Alexandria via LeMat-Bulk. Energies are from PBE-GGA.

Cell: 7.7231 7.7231 7.7231 Å, 90.00 90.00 90.00°
Space group F-43m (No. 216)
Symmetry-distinct sites (fractional):
Ac: 0.0000 0.0000 0.0000 [4 per cell]
Ho: 0.0000 0.0000 0.5000 [4 per cell]
Sn: 0.2500 0.2500 0.2500 [4 per cell]
Au: 0.2500 0.2500 0.7500 [4 per cell]

Properties
Mass density: 10.20 g/cm3
Crystal system: cubic
Total DFT energy (no corrections): -74.1 eV for the cell shown
Formation energy: -639 meV per atom

=====

(10)
Here is a relaxed structure of AcHoTlAu from Alexandria via LeMat-Bulk. Energies are from PBE-GGA.

Cell: 7.7554 7.7554 7.7554 Å, 90.00 90.00 90.00°
Space group F-43m (No. 216)
Symmetry-distinct sites (fractional):
Ac: 0.0000 0.0000 0.0000 [4 per cell]
Ho: 0.0000 0.0000 0.5000 [4 per cell]
Tl: 0.2500 0.2500 0.7500 [4 per cell]
Au: 0.2500 0.2500 0.2500 [4 per cell]

Properties
Mass density: 11.30 g/cm3
Crystal system: cubic
Total DFT energy (no corrections): -65.2 eV for the cell shown
Formation energy: -492 meV per atom

=====

(11)
Here is a relaxed structure of AcHoZnAu from Alexandria via LeMat-Bulk. Energies are from PBE-GGA.

Cell: 7.5157 7.5157 7.5157 Å, 90.00 90.00 90.00°
Space group F-43m (No. 216)
Symmetry-distinct sites (fractional):
Ac: 0.0000 0.0000 0.0000 [4 per cell]
Ho: 0.0000 0.0000 0.5000 [4 per cell]
Zn: 0.2500 0.2500 0.7500 [4 per cell]
Au: 0.2500 0.2500 0.2500 [4 per cell]

Properties
Mass density: 10.24 g/cm3
Crystal system: cubic
Total DFT energy (no corrections): -60.8 eV for the cell shown
Formation energy: -489 meV per atom

=====

(12)
Here is a relaxed structure of Ac2AuI from Alexandria via LeMat-Bulk. Energies are from PBE-GGA.

Cell: 3.8486 3.8486 9.0392 Å, 90.00 90.00 90.00°
Space group P4/mmm (No. 123)
Symmetry-distinct sites (fractional):
Ac: 0.0000 0.0000 0.2172 [2 per cell]
Au: 0.5000 0.5000 0.0000 [1 per cell]
I: 0.5000 0.5000 0.5000 [1 per cell]

Properties
Mass density: 9.65 g/cm3
Crystal system: tetragonal
Total DFT energy (no corrections): -16.2 eV for the cell shown

=====

(13)
Here is a relaxed structure of Ac3AuI3 from Alexandria via LeMat-Bulk. Energies are from PBE-GGA.

Cell: 10.0238 4.4495 13.3662 Å, 90.00 91.62 90.00°
Space group P2_1/m (No. 11)
Symmetry-distinct sites (fractional):
Ac: 0.1002 0.2500 0.1308 [2 per cell]
Ac: 0.1009 0.2500 0.6141 [2 per cell]
Ac: 0.3225 0.7500 0.3658 [2 per cell]
Au: 0.1129 0.2500 0.3688 [2 per cell]
I: 0.1610 0.2500 0.8763 [2 per cell]
I: 0.3585 0.7500 0.1156 [2 per cell]
I: 0.3911 0.7500 0.6251 [2 per cell]

Properties
Mass density: 7.01 g/cm3
Crystal system: monoclinic
Total DFT energy (no corrections): -56.1 eV for the cell shown

=====

(14)
Here is a relaxed structure of AcAu2I from Alexandria via LeMat-Bulk. Energies are from PBE-GGA.

Cell: 4.7937 4.7937 4.9126 Å, 90.00 90.00 90.00°
Space group P4/mmm (No. 123)
Symmetry-distinct sites (fractional):
Ac: 0.0000 0.0000 0.0000 [1 per cell]
Au: 0.0000 0.5000 0.5000 [2 per cell]
I: 0.5000 0.5000 0.0000 [1 per cell]

Properties
Mass density: 11.00 g/cm3
Crystal system: tetragonal
Total DFT energy (no corrections): -14.5 eV for the cell shown

=====

(15)
Here is a relaxed structure of AcAu2I from Alexandria via LeMat-Bulk. Energies are from PBE-GGA.

Cell: 4.2903 4.2903 27.7197 Å, 90.00 90.00 120.00°
Space group R-3m (No. 166, hexagonal axes)
Symmetry-distinct sites (fractional):
Ac: 0.0000 0.0000 0.0000 [3 per cell]
Au: 0.0000 0.0000 0.1052 [6 per cell]
I: 0.0000 0.0000 0.5000 [3 per cell]

Properties
Mass density: 8.43 g/cm3
Crystal system: trigonal
Total DFT energy (no corrections): -33.2 eV for the cell shown

=====

(16)
Here is a relaxed structure of Ac2AuI4 from Alexandria via LeMat-Bulk. Energies are from PBE-GGA.

Cell: 11.1975 11.1975 4.3425 Å, 90.00 90.00 90.00°
Space group P4_2/mnm (No. 136)
Symmetry-distinct sites (fractional):
Ac: 0.1634 0.1634 0.0000 [4 per cell]
Au: 0.0000 0.0000 0.5000 [2 per cell]
I: 0.0964 0.6739 0.0000 [8 per cell]

Properties
Mass density: 7.07 g/cm3
Crystal system: tetragonal
Total DFT energy (no corrections): -50.6 eV for the cell shown

=====

(17)
Here is a relaxed structure of AcAuI from Alexandria via LeMat-Bulk. Energies are from PBE-GGA.

Cell: 5.2693 5.2693 4.0781 Å, 90.00 90.00 120.00°
Space group P3m1 (No. 156)
Symmetry-distinct sites (fractional):
Ac: 0.0000 0.0000 0.0000 [1 per cell]
Au: 0.6667 0.3333 0.2486 [1 per cell]
I: 0.3333 0.6667 0.5717 [1 per cell]

Properties
Mass density: 9.33 g/cm3
Crystal system: trigonal
Total DFT energy (no corrections): -11.1 eV for the cell shown

=====

(18)
Here is a relaxed structure of Ac7AuI12 from Alexandria via LeMat-Bulk. Energies are from PBE-GGA.

Cell: 17.1131 17.1131 11.1778 Å, 90.00 90.00 120.00°
Space group R-3 (No. 148, hexagonal axes)
Symmetry-distinct sites (fractional):
Ac: 0.0000 0.0000 0.0000 [3 per cell]
Ac: 0.0421 0.8809 0.3372 [18 per cell]
Au: 0.0000 0.0000 0.5000 [3 per cell]
I: 0.0257 0.4395 0.1601 [18 per cell]
I: 0.0501 0.8604 0.8500 [18 per cell]

Properties
Mass density: 5.81 g/cm3
Crystal system: trigonal
Total DFT energy (no corrections): -230.8 eV for the cell shown

=====

(19)
Here is a relaxed structure of AcAuI from Alexandria via LeMat-Bulk. Energies are from PBE-GGA.

Cell: 4.6421 4.8541 12.0573 Å, 90.66 90.23 118.54°
Space group P-1 (No. 2)
Symmetry-distinct sites (fractional):
Ac: 0.0269 0.0568 0.3380 [2 per cell]
Au: 0.3391 0.6783 0.5026 [2 per cell]
I: 0.3443 0.6947 0.1597 [2 per cell]

Properties
Mass density: 7.67 g/cm3
Crystal system: triclinic
Total DFT energy (no corrections): -24.6 eV for the cell shown

=====

(20)
Here is a relaxed structure of Ac2AuI from Alexandria via LeMat-Bulk. Energies are from PBE-GGA.

Cell: 4.6098 4.6098 25.0140 Å, 90.00 90.00 120.00°
Space group R-3m (No. 166, hexagonal axes)
Symmetry-distinct sites (fractional):
Ac: 0.0000 0.0000 0.2340 [6 per cell]
Au: 0.0000 0.0000 0.5000 [3 per cell]
I: 0.0000 0.0000 0.0000 [3 per cell]

Properties
Mass density: 8.42 g/cm3
Crystal system: trigonal
Total DFT energy (no corrections): -50.1 eV for the cell shown

=====

(21)
Here is a relaxed structure of AcAuI from Alexandria via LeMat-Bulk. Energies are from PBE-GGA.

Cell: 4.7851 4.9198 8.8389 Å, 90.00 97.04 90.00°
Space group P2_1/m (No. 11)
Symmetry-distinct sites (fractional):
Ac: 0.1599 0.2500 0.2102 [2 per cell]
Au: 0.3584 0.7500 0.0234 [2 per cell]
I: 0.2789 0.2500 0.6266 [2 per cell]

Properties
Mass density: 8.86 g/cm3
Crystal system: monoclinic
Total DFT energy (no corrections): -23.9 eV for the cell shown

=====

(22)
Here is a relaxed structure of AcAuI2 from Alexandria via LeMat-Bulk. Energies are from PBE-GGA.

Cell: 4.2772 4.2772 30.3152 Å, 90.00 90.00 120.00°
Space group R-3m (No. 166, hexagonal axes)
Symmetry-distinct sites (fractional):
Ac: 0.0000 0.0000 0.0000 [3 per cell]
Au: 0.0000 0.0000 0.5000 [3 per cell]
I: 0.0000 0.0000 0.4095 [6 per cell]

Properties
Mass density: 7.03 g/cm3
Crystal system: trigonal
Total DFT energy (no corrections): -38.1 eV for the cell shown

=====

(23)
Here is a relaxed structure of AcAuI from Alexandria via LeMat-Bulk. Energies are from PBE-GGA.

Cell: 4.1272 4.1272 11.5958 Å, 90.00 90.00 90.00°
Space group I4mm (No. 107)
Symmetry-distinct sites (fractional):
Ac: 0.0000 0.0000 0.0000 [2 per cell]
Au: 0.0000 0.0000 0.3823 [2 per cell]
I: 0.0000 0.0000 0.6868 [2 per cell]

Properties
Mass density: 9.26 g/cm3
Crystal system: tetragonal
Total DFT energy (no corrections): -22.9 eV for the cell shown

=====

(24)
Here is a relaxed structure of Ac2AuI from Alexandria via LeMat-Bulk. Energies are from PBE-GGA.

Cell: 4.4646 4.4646 8.7529 Å, 90.00 90.00 120.00°
Space group P-3m1 (No. 164)
Symmetry-distinct sites (fractional):
Ac: 0.3333 0.6667 0.2947 [2 per cell]
Au: 0.0000 0.0000 0.5000 [1 per cell]
I: 0.0000 0.0000 0.0000 [1 per cell]

Properties
Mass density: 8.55 g/cm3
Crystal system: trigonal
Total DFT energy (no corrections): -16.7 eV for the cell shown

=====

(25)
Here is a relaxed structure of AcAuI from Alexandria via LeMat-Bulk. Energies are from PBE-GGA.

Cell: 8.1350 4.8605 12.3172 Å, 90.00 101.07 90.00°
Space group C2/m (No. 12)
Symmetry-distinct sites (fractional):
Ac: 0.0696 0.0000 0.1611 [4 per cell]
Au: 0.1689 0.5000 0.9983 [4 per cell]
I: 0.2206 0.0000 0.6603 [4 per cell]

Properties
Mass density: 7.66 g/cm3
Crystal system: monoclinic
Total DFT energy (no corrections): -49.1 eV for the cell shown

=====

(26)
Here is a relaxed structure of AcAuI6 from Alexandria via LeMat-Bulk. Energies are from PBE-GGA.

Cell: 6.1619 7.9855 8.9774 Å, 72.37 75.59 86.01°
Space group P-1 (No. 2)
Symmetry-distinct sites (fractional):
Ac: 0.0000 0.0000 0.0000 [1 per cell]
Au: 0.5000 0.5000 0.0000 [1 per cell]
I: 0.0226 0.8097 0.3640 [2 per cell]
I: 0.2616 0.3928 0.8226 [2 per cell]
I: 0.4809 0.8330 0.8213 [2 per cell]

Properties
Mass density: 4.83 g/cm3
Crystal system: triclinic
Total DFT energy (no corrections): -22.4 eV for the cell shown